No. 1
Material: KCo2Rh
Method: DFT, PBE
State: relaxed

Cell and atoms, written as extended XYZ:
```
4
Lattice="1.379 0.796 9.774 -1.379 0.796 9.774 0.000 -1.593 9.774" Properties=species:S:1:pos:R:3 pbc="T T T"
K 0.000 0.000 0.000
Co 0.000 0.000 6.925
Co 0.000 0.000 22.398
Rh 0.000 0.000 14.661
```

Calculated values
SG = No. 166
Crystal system = trigonal

No. 2
Material: KCo2Rh
Method: DFT, PBE
State: relaxed

Cell and atoms, written as extended XYZ:
```
4
Lattice="3.015 -3.931 0.000 3.015 3.931 0.000 0.000 0.000 2.649" Properties=species:S:1:pos:R:3 pbc="T T T"
K 0.000 0.000 0.000
Co 1.507 1.966 1.325
Co 1.507 -1.966 1.325
Rh 3.015 0.000 0.000
```

Calculated values
SG = No. 65
Crystal system = orthorhombic

No. 3
Material: KCoRh2
Method: DFT, PBE
State: relaxed

Cell and atoms, written as extended XYZ:
```
4
Lattice="2.802 0.000 0.000 0.000 2.802 0.000 0.000 0.000 8.663" Properties=species:S:1:pos:R:3 pbc="T T T"
K 0.000 0.000 0.000
Co 0.000 0.000 4.331
Rh 1.401 1.401 2.723
Rh 1.401 1.401 5.939
```

Calculated values
SG = No. 123
Crystal system = tetragonal

No. 4
Material: KCo2Rh
Method: DFT, PBE
State: relaxed

Cell and atoms, written as extended XYZ:
```
4
Lattice="0.000 3.174 3.174 3.174 0.000 3.174 3.174 3.174 0.000" Properties=species:S:1:pos:R:3 pbc="T T T"
K 0.000 0.000 0.000
Co 1.587 1.587 1.587
Co 4.760 4.760 4.760
Rh 3.174 3.174 3.174
```

Calculated values
SG = No. 225
Crystal system = cubic

No. 5
Material: KCoRh2
Method: DFT, PBE
State: relaxed

Cell and atoms, written as extended XYZ:
```
4
Lattice="-1.362 2.554 5.102 1.362 -2.554 5.102 1.362 2.554 -5.102" Properties=species:S:1:pos:R:3 pbc="T T T"
K 0.000 0.000 0.000
Co 0.000 2.554 2.206
Rh 1.362 0.000 2.953
Rh 0.000 0.000 5.230
```

Calculated values
SG = No. 44
Crystal system = orthorhombic

No. 6
Material: KCoRh2
Method: DFT, PBE
State: relaxed

Cell and atoms, written as extended XYZ:
```
4
Lattice="0.000 3.227 3.227 3.227 0.000 3.227 3.227 3.227 0.000" Properties=species:S:1:pos:R:3 pbc="T T T"
K 0.000 0.000 0.000
Co 4.840 4.840 4.840
Rh 1.613 1.613 1.613
Rh 3.227 3.227 3.227
```

Calculated values
SG = No. 216
Crystal system = cubic

No. 7
Material: KCo2Rh
Method: DFT, PBE
State: relaxed

Cell and atoms, written as extended XYZ:
```
4
Lattice="4.857 0.000 0.000 0.000 4.857 0.000 0.000 0.000 2.691" Properties=species:S:1:pos:R:3 pbc="T T T"
K 0.000 0.000 0.000
Co 0.000 2.429 1.346
Co 2.429 0.000 1.346
Rh 2.429 2.429 0.000
```

Calculated values
SG = No. 123
Crystal system = tetragonal

No. 8
Material: KCoRh2
Method: DFT, PBE
State: relaxed

Cell and atoms, written as extended XYZ:
```
4
Lattice="2.830 0.000 0.000 0.000 2.830 0.000 0.000 0.000 8.783" Properties=species:S:1:pos:R:3 pbc="T T T"
K 0.000 0.000 0.000
Co 1.415 1.415 6.005
Rh 0.000 0.000 4.491
Rh 1.415 1.415 2.672
```

Calculated values
SG = No. 99
Crystal system = tetragonal

No. 9
Material: KCo2Rh
Method: DFT, PBE
State: relaxed

Cell and atoms, written as extended XYZ:
```
4
Lattice="2.779 0.000 0.000 0.000 2.779 0.000 0.000 0.000 8.830" Properties=species:S:1:pos:R:3 pbc="T T T"
K 0.000 0.000 0.000
Co 1.390 1.390 2.747
Co 1.390 1.390 6.083
Rh 0.000 0.000 4.415
```

Calculated values
SG = No. 123
Crystal system = tetragonal

No. 10
Material: KCo2Rh
Method: DFT, PBE
State: relaxed

Cell and atoms, written as extended XYZ:
```
4
Lattice="0.000 3.168 3.168 3.168 0.000 3.168 3.168 3.168 0.000" Properties=species:S:1:pos:R:3 pbc="T T T"
K 0.000 0.000 0.000
Co 3.168 3.168 3.168
Co 4.752 4.752 4.752
Rh 1.584 1.584 1.584
```

Calculated values
SG = No. 216
Crystal system = cubic

No. 11
Material: KCoRh2
Method: DFT, PBE
State: relaxed

Cell and atoms, written as extended XYZ:
```
4
Lattice="2.720 0.000 0.000 0.000 3.750 0.000 0.000 0.000 7.496" Properties=species:S:1:pos:R:3 pbc="T T T"
K 0.000 0.000 0.000
Co 1.360 1.875 4.917
Rh 0.000 0.000 3.888
Rh 1.360 1.875 2.464
```

Calculated values
SG = No. 25
Crystal system = orthorhombic

No. 12
Material: KCo4Rh
Method: DFT, PBE
State: relaxed

Cell and atoms, written as extended XYZ:
```
6
Lattice="0.000 3.514 3.514 3.514 0.000 3.514 3.514 3.514 0.000" Properties=species:S:1:pos:R:3 pbc="T T T"
K 0.000 0.000 0.000
Co 2.641 2.641 2.641
Co 4.386 4.386 2.641
Co 4.386 2.641 4.386
Co 2.641 4.386 4.386
Rh 5.270 5.270 5.270
```

Calculated values
SG = No. 216
Crystal system = cubic

No. 13
Material: K3CoRh
Method: DFT, PBE
State: relaxed

Cell and atoms, written as extended XYZ:
```
5
Lattice="6.040 0.000 0.000 0.000 6.040 0.000 0.000 0.000 6.040" Properties=species:S:1:pos:R:3 pbc="T T T"
K 0.000 0.000 3.020
K 0.000 3.020 0.000
K 3.020 0.000 0.000
Co 3.020 3.020 3.020
Rh 0.000 0.000 0.000
```

Calculated values
SG = No. 221
Crystal system = cubic

No. 14
Material: KCoRh2
Method: DFT, PBE
State: relaxed

Cell and atoms, written as extended XYZ:
```
4
Lattice="4.168 -1.379 0.000 4.168 1.379 0.000 -0.673 0.000 6.847" Properties=species:S:1:pos:R:3 pbc="T T T"
K 0.000 0.000 0.000
Co 3.831 0.000 3.423
Rh 1.474 0.000 4.490
Rh 6.188 0.000 2.357
```

Calculated values
SG = No. 12
Crystal system = monoclinic

No. 15
Material: KCo2Rh
Method: DFT, PBE
State: relaxed

Cell and atoms, written as extended XYZ:
```
4
Lattice="2.696 0.000 0.000 0.000 4.859 0.000 0.000 0.000 4.934" Properties=species:S:1:pos:R:3 pbc="T T T"
K 0.000 0.000 0.000
Co 0.000 2.430 2.467
Co 1.348 2.430 0.000
Rh 1.348 0.000 2.467
```

Calculated values
SG = No. 47
Crystal system = orthorhombic

Record order is preserved below.
Formation enthalpy at 0 K: 0.766 1.011 0.473 1.101 0.770 1.003 1.004 0.563 0.703 1.131 0.522 0.697 1.165 0.567 1.121 eV/atom
Record order is preserved below.
Uncorrected energy: -4.8990 -4.6541 -5.2535 -4.5643 -4.9564 -4.7238 -4.6609 -5.1636 -4.9618 -4.5343 -5.2043 -5.4480 -2.3848 -5.1592 -4.5445 eV per atom